A:
DyScAg | GGA-PBE | relaxed Values from VASP.

Symmetry: No. 156
Density of states at the Fermi level: 2.796 states/eV/f.u.
Mass density: 7122 kg/m³

The structure in Quantum ESPRESSO input format:
```
&SYSTEM
  ibrav = 0, nat = 3, ntyp = 3
/
ATOMIC_SPECIES
Sc 44.96 Sc.upf
Ag 107.87 Ag.upf
Dy 162.50 Dy.upf
CELL_PARAMETERS angstrom
-1.218 2.942 1.584
-4.330 -2.159 0.678
3.484 -0.390 3.403
ATOMIC_POSITIONS angstrom
Sc -0.123 0.298 0.160
Ag 0.558 -0.204 2.913
Dy -2.500 0.300 2.593
```


B:
DyScAg | GGA-PBE | relaxed Values from VASP.

Symmetry: No. 107
Density of states at the Fermi level: 3.560 states/eV/f.u.
Mass density: 7172 kg/m³

The structure in Quantum ESPRESSO input format:
```
&SYSTEM
  ibrav = 0, nat = 3, ntyp = 3
/
ATOMIC_SPECIES
Sc 44.96 Sc.upf
Ag 107.87 Ag.upf
Dy 162.50 Dy.upf
CELL_PARAMETERS angstrom
3.480 0.000 0.000
0.000 3.480 0.000
-1.740 -1.740 6.027
ATOMIC_POSITIONS angstrom
Sc 0.000 0.000 3.774
Ag 1.740 1.740 2.134
Dy 0.000 0.000 0.119
```


Going by the energies, B is most stable and the next is 113 meV per atom up.


A:
DyScAg | GGA-PBE | relaxed Values from VASP.

Symmetry: No. 12
Density of states at the Fermi level: 3.862 states/eV/f.u.
Mass density: 7212 kg/m³

The structure in Quantum ESPRESSO input format:
```
&SYSTEM
  ibrav = 0, nat = 6, ntyp = 3
/
ATOMIC_SPECIES
Dy 162.50 Dy.upf
Sc 44.96 Sc.upf
Ag 107.87 Ag.upf
CELL_PARAMETERS angstrom
2.529 5.400 1.148
-2.529 5.400 1.148
0.000 2.268 5.800
ATOMIC_POSITIONS angstrom
Dy 0.000 10.713 6.328
Dy 0.000 2.354 1.767
Sc 0.000 7.542 5.286
Sc 0.000 5.525 2.809
Ag 0.000 3.378 4.848
Ag 0.000 9.689 3.247
```


B:
DyScAg | GGA-PBE | relaxed Values from VASP.

Symmetry: No. 70
Density of states at the Fermi level: 4.347 states/eV/f.u.
Mass density: 6408 kg/m³

The structure in Quantum ESPRESSO input format:
```
&SYSTEM
  ibrav = 0, nat = 12, ntyp = 3
/
ATOMIC_SPECIES
Dy 162.50 Dy.upf
Sc 44.96 Sc.upf
Ag 107.87 Ag.upf
CELL_PARAMETERS angstrom
-6.675 -0.929 1.473
1.698 -1.738 6.456
1.990 7.914 -2.059
ATOMIC_POSITIONS angstrom
Dy -0.442 1.728 0.305
Dy 0.414 0.754 3.503
Dy 0.157 4.149 4.485
Dy -3.172 3.580 5.192
Sc -3.779 1.254 1.039
Sc -0.692 5.009 1.255
Sc -2.924 0.298 4.241
Sc -4.022 4.457 1.966
Ag -0.990 1.768 6.026
Ag -4.015 -1.953 5.711
Ag 1.561 3.135 1.962
Ag 0.401 7.261 -0.213
```


Going by the energies, A is most stable and the next is 215 meV per atom up.


A:
Dy4ScAg | GGA-PBE | relaxed Values from VASP.

Symmetry: No. 123
Density of states at the Fermi level: 7.303 states/eV/f.u.
Mass density: 7965 kg/m³

The structure in Quantum ESPRESSO input format:
```
&SYSTEM
  ibrav = 0, nat = 6, ntyp = 3
/
ATOMIC_SPECIES
Dy 162.50 Dy.upf
Sc 44.96 Sc.upf
Ag 107.87 Ag.upf
CELL_PARAMETERS angstrom
-0.662 2.845 1.937
-2.731 0.767 -2.059
-8.143 -7.376 8.053
ATOMIC_POSITIONS angstrom
Dy -8.461 -4.322 6.629
Dy -3.075 0.558 1.302
Dy -8.628 -1.130 5.055
Dy -2.908 -2.634 2.876
Sc 0.000 0.000 0.000
Ag -5.768 -1.882 3.965
```


B:
Dy4ScAg | GGA-PBE | relaxed Values from VASP.

Symmetry: No. 36
Density of states at the Fermi level: 7.853 states/eV/f.u.
Mass density: 7704 kg/m³

The structure in Quantum ESPRESSO input format:
```
&SYSTEM
  ibrav = 0, nat = 12, ntyp = 3
/
ATOMIC_SPECIES
Dy 162.50 Dy.upf
Sc 44.96 Sc.upf
Ag 107.87 Ag.upf
CELL_PARAMETERS angstrom
5.251 0.000 0.000
0.000 6.294 0.000
-2.626 0.000 10.471
ATOMIC_POSITIONS angstrom
Dy 2.626 1.372 9.026
Dy 0.000 4.519 1.445
Dy 0.000 5.523 9.772
Dy 2.626 2.376 0.699
Dy 2.626 3.515 3.624
Dy 0.000 0.368 6.847
Dy 2.626 0.489 5.070
Dy 0.000 3.636 5.401
Sc 2.626 4.556 7.655
Sc 0.000 1.409 2.816
Ag 2.626 6.154 2.200
Ag 0.000 3.007 8.271
```


Going by the energies, A is most stable and the next is 136 meV per atom up.